LiUMoO6 (PBE with a Hubbard U, relaxed); electronic total energy = -141.5 eV/cell; spin magnetization = 1.00 μB per formula unit; theoretical density = 5.89 g/cm3
1.0
-4.757 -0.414 2.756
0.075 -0.617 -5.478
1.410 -9.183 1.054
Li U Mo O
2 2 2 12
Cartesian
0.000 0.000 0.000 Li
0.705 -4.591 0.527 Li
-1.183 -2.845 -2.470 U
-2.089 -7.369 0.802 U
-2.794 -2.778 0.275 Mo
-0.478 -7.437 -1.943 Mo
-2.819 -1.933 -1.541 O
-4.478 -1.906 0.919 O
-0.720 -6.626 -3.758 O
1.206 -8.309 -2.587 O
-1.215 -3.687 -0.557 O
-4.145 -4.114 -0.358 O
-1.718 -8.778 -2.764 O
-2.553 -3.589 2.090 O
0.873 -6.100 -1.310 O
-1.554 -1.436 1.096 O
-2.057 -6.527 -1.111 O
-0.453 -8.281 -0.127 O